(1)
Computed, not measured: In3OsN after structural relaxation at the PBE-GGA level of DFT.

Calculated values
As for the volume: 18.13 Å³/atom. Its crystal system is cubic. For the formation energy without anion corrections, the calculation gives 933 meV/atom. Its energy above the lowest structure with this stoichiometry is 0.00 eV/f.u. As for the space-group type: No. 221.

Cell lengths 4.492, 4.492, 4.492 Å; angles 90.00, 90.00, 90.00 degrees
Atoms (fractional coordinates):
1 In 0.000 0.000 0.500
2 In 0.000 0.500 0.000
3 In 0.500 0.000 0.000
4 Os 0.500 0.500 0.500
5 N 0.000 0.000 0.000


(2)
Computed, not measured: Cs2LiHf3O8 after structural relaxation at the PBE-GGA level of DFT.

Calculated values
As for the volume: 18.77 Å³/atom. Its crystal system is trigonal. For the formation energy without anion corrections, the calculation gives -2726 meV/atom. As for the space-group type: No. 160.

Cell lengths 8.160, 8.160, 8.160 Å; angles 46.69, 46.69, 46.69 degrees
Atoms (fractional coordinates):
1 Cs 0.000 0.000 0.000
2 Cs 0.363 0.363 0.363
3 Li 0.820 0.820 0.820
4 Hf 0.359 0.359 0.858
5 Hf 0.359 0.858 0.359
6 Hf 0.858 0.359 0.359
7 O 0.096 0.096 0.536
8 O 0.096 0.536 0.096
9 O 0.142 0.142 0.142
10 O 0.162 0.636 0.636
11 O 0.536 0.096 0.096
12 O 0.574 0.574 0.574
13 O 0.636 0.162 0.636
14 O 0.636 0.636 0.162


(3)
Computed, not measured: RbFePtPb2 after structural relaxation at the PBE-GGA level of DFT.

Calculated values
As for the volume: 37.57 Å³/atom. Its crystal system is tetragonal. The formation energy comes out at 1.9274 eV/atom. As for the space-group type: No. 123.

Cell lengths 6.064, 6.064, 5.108 Å; angles 90.00, 90.00, 90.00 degrees
Atoms (fractional coordinates):
1 Rb 0.000 0.000 0.000
2 Fe 0.500 0.500 0.500
3 Pt 0.000 0.000 0.500
4 Pb 0.000 0.500 0.000
5 Pb 0.500 0.000 0.000


(4)
Computed, not measured: Rb2ReHgTe after structural relaxation at the PBE-GGA level of DFT.

Calculated values
As for the volume: 46.63 Å³/atom. Its crystal system is tetragonal. For the formation energy without anion corrections, the calculation gives 534 meV/atom. As for the space-group type: No. 123.

Cell lengths 6.802, 6.802, 5.039 Å; angles 90.00, 90.00, 90.00 degrees
Atoms (fractional coordinates):
1 Rb 0.000 0.500 0.000
2 Rb 0.500 0.000 0.000
3 Re 0.000 0.000 0.000
4 Hg 0.500 0.500 0.500
5 Te 0.000 0.000 0.500


(5)
Computed, not measured: LiTePb2 after structural relaxation at the PBE-GGA level of DFT.

Calculated values
As for the volume: 30.00 Å³/atom. Its crystal system is monoclinic. For the formation energy without anion corrections, the calculation gives -132 meV/atom. As for the space-group type: No. 10.

Cell lengths 3.354, 6.386, 5.613 Å; angles 90.00, 93.44, 90.00 degrees
Atoms (fractional coordinates):
1 Li 0.000 0.000 0.000
2 Te 0.500 0.000 0.500
3 Pb 0.280 0.500 0.244
4 Pb 0.720 0.500 0.756


Results for E_tot: -0.3396; -0.5844; -0.1948; -0.2228; -0.2389 (in Ry/atom, following the order of the records).